No. 1
# Ca2Ac9Sm PBE-GGA relaxed
# DFT total energy = -3.7844 eV per atom
# Density = 7.27 g/cm3
# Formation enthalpy at 0 K = 0.024 eV/atom
# Total magnetic moment = 0.000 μB/atom
data_Ca2Ac9Sm
_symmetry_space_group_name_H-M 'P 4/m m m'
_symmetry_Int_Tables_number 123
_symmetry_space_group_name_Hall '-P 4 2'
_cell_length_a 5.5742
_cell_length_b 5.5742
_cell_length_c 16.7199
_cell_angle_alpha 90.00
_cell_angle_beta 90.00
_cell_angle_gamma 90.00
loop_
_atom_site_label
_atom_site_fract_x
_atom_site_fract_y
_atom_site_fract_z
_atom_site_occupancy
Ca1 0.0000 0.0000 0.1681 1
Ac1 0.0000 0.5000 0.0000 1
Ac2 0.0000 0.5000 0.3380 1
Ac3 0.5000 0.5000 0.1679 1
Ac4 0.5000 0.5000 0.5000 1
Sm1 0.0000 0.0000 0.5000 1

No. 2
# SrSc2InCo PBE-GGA relaxed
# DFT total energy = -4.9834 eV per atom
# Density = 4.68 g/cm3
# Formation enthalpy at 0 K = -0.146 eV/atom
# Total magnetic moment = 0.000 μB/atom
data_SrSc2InCo
_symmetry_space_group_name_H-M 'P 4/m m m'
_symmetry_Int_Tables_number 123
_symmetry_space_group_name_Hall '-P 4 2'
_cell_length_a 4.9324
_cell_length_b 4.9324
_cell_length_c 5.1222
_cell_angle_alpha 90.00
_cell_angle_beta 90.00
_cell_angle_gamma 90.00
loop_
_atom_site_label
_atom_site_fract_x
_atom_site_fract_y
_atom_site_fract_z
_atom_site_occupancy
Sr1 0.0000 0.0000 0.0000 1
Sc1 0.0000 0.5000 0.5000 1
In1 0.5000 0.5000 0.0000 1
Co1 0.5000 0.5000 0.5000 1

No. 3
# Sc5Hg PBE-GGA relaxed
# DFT total energy = -5.4430 eV per atom
# Density = 5.02 g/cm3
# E above lowest polymorph = 6.3 meV/atom
# Formation enthalpy at 0 K = -0.116 eV/atom
# Total magnetic moment = 0.002 μB/atom
data_Sc5Hg
_symmetry_space_group_name_H-M 'C 1 m 1'
_symmetry_Int_Tables_number 8
_symmetry_space_group_name_Hall 'C -2y'
_cell_length_a 11.5992
_cell_length_b 3.3108
_cell_length_c 7.5533
_cell_angle_alpha 90.00
_cell_angle_beta 103.99
_cell_angle_gamma 90.00
loop_
_atom_site_label
_atom_site_fract_x
_atom_site_fract_y
_atom_site_fract_z
_atom_site_occupancy
Sc1 0.0000 0.0000 0.0000 1
Sc2 0.0295 0.0000 0.6045 1
Sc3 0.1659 0.5000 0.3404 1
Sc4 0.2174 0.5000 0.9271 1
Sc5 0.3879 0.0000 0.2649 1
Hg1 0.3173 0.0000 0.6574 1

No. 4
# Nd2ZnB3Pt12 PBE-GGA relaxed
# DFT total energy = -6.1827 eV per atom
# Density = 14.23 g/cm3
# Formation enthalpy at 0 K = -0.442 eV/atom
# Total magnetic moment = 0.000 μB/atom
data_Nd2ZnB3Pt12
_symmetry_space_group_name_H-M 'R -3 m'
_symmetry_Int_Tables_number 166
_symmetry_space_group_name_Hall '-R 3 2"'
_cell_length_a 7.9682
_cell_length_b 7.9682
_cell_length_c 17.3628
_cell_angle_alpha 90.00
_cell_angle_beta 90.00
_cell_angle_gamma 120.00
loop_
_atom_site_label
_atom_site_fract_x
_atom_site_fract_y
_atom_site_fract_z
_atom_site_occupancy
Nd1 0.0000 0.0000 0.1068 1
Zn1 0.0000 0.0000 0.5000 1
B1 0.0000 0.5000 0.0000 1
Pt1 0.0017 0.5008 0.8787 1
Pt2 0.0575 0.5288 0.3540 1

No. 5
# Zr2TiAgO PBE-GGA relaxed
# DFT total energy = -5.4185 eV per atom
# Density = 5.11 g/cm3
# E above lowest polymorph = 2189.8 meV/atom
# Energy relative to the elements, uncorrected = 1.14 eV/atom
# Total magnetic moment = 0.000 μB/atom
data_Zr2TiAgO
_symmetry_space_group_name_H-M 'P 4/m m m'
_symmetry_Int_Tables_number 123
_symmetry_space_group_name_Hall '-P 4 2'
_cell_length_a 4.9356
_cell_length_b 4.9356
_cell_length_c 4.7248
_cell_angle_alpha 90.00
_cell_angle_beta 90.00
_cell_angle_gamma 90.00
loop_
_atom_site_label
_atom_site_fract_x
_atom_site_fract_y
_atom_site_fract_z
_atom_site_occupancy
Zr1 0.0000 0.5000 0.0000 1
Ti1 0.0000 0.0000 0.0000 1
Ag1 0.0000 0.0000 0.5000 1
O1 0.5000 0.5000 0.5000 1

No. 6
# FeBAsC PBE-GGA relaxed
# DFT total energy = -6.7143 eV per atom
# Density = 5.72 g/cm3
# E above lowest polymorph = 414.4 meV/atom
# Formation enthalpy at 0 K = 0.539 eV/atom
# Total magnetic moment = 0.000 μB/atom
data_FeBAsC
_symmetry_space_group_name_H-M 'P 1 m 1'
_symmetry_Int_Tables_number 6
_symmetry_space_group_name_Hall 'P -2y'
_cell_length_a 3.8484
_cell_length_b 2.7372
_cell_length_c 4.3518
_cell_angle_alpha 90.00
_cell_angle_beta 103.61
_cell_angle_gamma 90.00
loop_
_atom_site_label
_atom_site_fract_x
_atom_site_fract_y
_atom_site_fract_z
_atom_site_occupancy
Fe1 0.0000 0.0000 0.0000 1
B1 0.4042 0.5000 0.2513 1
As1 0.3946 0.0000 0.6320 1
C1 0.7507 0.5000 0.1365 1